A plane-wave DFT calculation with PBE-GGA was carried out for crystalline K2GeSeS at its relaxed geometry.

a = 7.2875 Å, b = 4.1218 Å, c = 11.4023 Å
α = 90.00°, β = 106.47°, γ = 90.00°
Fractional positions:
K1 0.1792 0.2500 0.3895
K2 0.2324 0.7500 0.0159
K3 0.7676 0.2500 0.9841
K4 0.8208 0.7500 0.6105
Ge1 0.3222 0.2500 0.7825
Ge2 0.6778 0.7500 0.2175
Se1 0.3188 0.7500 0.6384
Se2 0.6812 0.2500 0.3616
S1 0.0259 0.2500 0.8133
S2 0.9741 0.7500 0.1867

Properties
ΔE_f (raw): -825 meV/atom
calculated total energy: -37.102 eV for the cell shown
size of the total moment: 0.0000 μB/atom

***

A plane-wave DFT calculation with PBE-GGA was carried out for crystalline K2SiGeS at its relaxed geometry.

a = 6.4279 Å, b = 6.4279 Å, c = 4.6485 Å
α = 90.00°, β = 90.00°, γ = 90.00°
Fractional positions:
K1 0.0000 0.5000 0.0000
K2 0.5000 0.0000 0.0000
Si1 0.0000 0.0000 0.5000
Ge1 0.0000 0.0000 0.0000
S1 0.5000 0.5000 0.5000

Properties
ΔE_f (raw): 248 meV/atom
calculated total energy: -15.124 eV for the cell shown
size of the total moment: 0.1245 μB/atom

***

A plane-wave DFT calculation with PBE-GGA was carried out for crystalline KSmGeS4 at its relaxed geometry.

a = 6.6017 Å, b = 6.7110 Å, c = 8.8208 Å
α = 90.00°, β = 107.07°, γ = 90.00°
Fractional positions:
K1 0.2343 0.2500 0.4358
K2 0.7657 0.7500 0.5642
Sm1 0.2730 0.2500 0.9476
Sm2 0.7270 0.7500 0.0524
Ge1 0.2736 0.7500 0.1753
Ge2 0.7264 0.2500 0.8247
S1 0.0725 0.7500 0.3347
S2 0.0741 0.7500 0.9240
S3 0.4993 0.5053 0.7874
S4 0.4993 0.9947 0.7874
S5 0.5007 0.0053 0.2126
S6 0.5007 0.4947 0.2126
S7 0.9259 0.2500 0.0760
S8 0.9275 0.2500 0.6653

Properties
ΔE_f (raw): -1251 meV/atom
calculated total energy: -71.397 eV for the cell shown
size of the total moment: 0.0000 μB/atom

***

A plane-wave DFT calculation with PBE-GGA was carried out for crystalline K2SnGeS5 at its relaxed geometry.

a = 10.1815 Å, b = 10.1815 Å, c = 13.3031 Å
α = 90.00°, β = 90.00°, γ = 158.95°
Fractional positions:
K1 0.1149 0.8851 0.5000
K2 0.1162 0.8838 0.8601
K3 0.8838 0.1162 0.3601
K4 0.8851 0.1149 0.0000
Sn1 0.2283 0.7717 0.2243
Sn2 0.7717 0.2283 0.7243
Ge1 0.4346 0.5654 0.6270
Ge2 0.5654 0.4346 0.1270
S1 0.0462 0.9538 0.2299
S2 0.2880 0.7120 0.8513
S3 0.3214 0.6786 0.5959
S4 0.3414 0.6586 0.1791
S5 0.4850 0.5150 0.4855
S6 0.5150 0.4850 0.9855
S7 0.6586 0.3414 0.6791
S8 0.6786 0.3214 0.0959
S9 0.7120 0.2880 0.3513
S10 0.9538 0.0462 0.7299

Properties
ΔE_f (raw): -691 meV/atom
calculated total energy: -75.347 eV for the cell shown
size of the total moment: 0.0000 μB/atom

***

A plane-wave DFT calculation with PBE-GGA was carried out for crystalline K2SnGeS4 at its relaxed geometry.

a = 9.5850 Å, b = 8.2445 Å, c = 6.4004 Å
α = 90.00°, β = 90.00°, γ = 90.00°
Fractional positions:
K1 0.2457 0.1680 0.0000
K2 0.2543 0.8320 0.5000
K3 0.7457 0.8320 0.5000
K4 0.7543 0.1680 0.0000
Sn1 0.0000 0.6853 0.0182
Sn2 0.5000 0.3147 0.5182
Ge1 0.0000 0.3559 0.5503
Ge2 0.5000 0.6441 0.0503
S1 0.0000 0.3944 0.9044
S2 0.0000 0.6111 0.4135
S3 0.1970 0.2197 0.4872
S4 0.3030 0.7803 0.9872
S5 0.5000 0.3889 0.9135
S6 0.5000 0.6056 0.4044
S7 0.6970 0.7803 0.9872
S8 0.8030 0.2197 0.4872

Properties
ΔE_f (raw): -768 meV/atom
calculated total energy: -66.930 eV for the cell shown
size of the total moment: 0.0000 μB/atom

***

A plane-wave DFT calculation with PBE-GGA was carried out for crystalline K2SrGeS4 at its relaxed geometry.

a = 8.5898 Å, b = 9.2403 Å, c = 6.3469 Å
α = 90.00°, β = 90.00°, γ = 90.00°
Fractional positions:
K1 0.2131 0.1437 0.0000
K2 0.2869 0.8563 0.5000
K3 0.7131 0.8563 0.5000
K4 0.7869 0.1437 0.0000
Sr1 0.0000 0.3972 0.4929
Sr2 0.5000 0.6028 0.9929
Ge1 0.0000 0.6812 0.9121
Ge2 0.5000 0.3188 0.4121
S1 0.0000 0.4438 0.0013
S2 0.0000 0.6945 0.5631
S3 0.2203 0.7981 0.0124
S4 0.2797 0.2019 0.5124
S5 0.5000 0.3055 0.0631
S6 0.5000 0.5562 0.5013
S7 0.7203 0.2019 0.5124
S8 0.7797 0.7981 0.0124

Properties
ΔE_f (raw): -1139 meV/atom
calculated total energy: -68.226 eV for the cell shown
size of the total moment: 0.0000 μB/atom

***

A plane-wave DFT calculation with PBE-GGA was carried out for crystalline K2SrGeS at its relaxed geometry.

a = 7.0177 Å, b = 7.0177 Å, c = 5.4169 Å
α = 90.00°, β = 90.00°, γ = 90.00°
Fractional positions:
K1 0.0000 0.5000 0.0000
K2 0.5000 0.0000 0.0000
Sr1 0.0000 0.0000 0.0000
Ge1 0.0000 0.0000 0.5000
S1 0.5000 0.5000 0.5000

Properties
ΔE_f (raw): 614 meV/atom
calculated total energy: -9.550 eV for the cell shown
size of the total moment: 0.2569 μB/atom

***

A plane-wave DFT calculation with PBE-GGA was carried out for crystalline K3Tb3GeS8 at its relaxed geometry.

a = 8.8066 Å, b = 8.8066 Å, c = 8.8066 Å
α = 53.44°, β = 53.44°, γ = 53.44°
Fractional positions:
K1 0.0000 0.5000 0.5000
K2 0.5000 0.0000 0.5000
K3 0.5000 0.5000 0.0000
Tb1 0.0000 0.0000 0.5000
Tb2 0.0000 0.5000 0.0000
Tb3 0.5000 0.0000 0.0000
Ge1 0.5000 0.5000 0.5000
S1 0.2338 0.2338 0.2338
S2 0.2603 0.7138 0.7138
S3 0.2862 0.2862 0.7397
S4 0.2862 0.7397 0.2862
S5 0.7138 0.2603 0.7138
S6 0.7138 0.7138 0.2603
S7 0.7397 0.2862 0.2862
S8 0.7662 0.7662 0.7662

Properties
ΔE_f (raw): -1493 meV/atom
calculated total energy: -77.220 eV for the cell shown
size of the total moment: 0.0000 μB/atom